[1]
An optimized crystal structure of Hf3Ga4Pd, computed with GGA-PBE.

Lattice parameters (Å, degrees): 2.936 5.523 18.127 90.00 90.00 90.00
Space group Immm (No. 71)
One atom of each set of equivalent atoms:
Hf1 0.000 0.000 0.000 x2
Hf2 0.000 0.500 0.242 x4
Ga1 0.000 0.249 0.380 x8
Pd1 0.000 0.000 0.500 x2

***

[2]
An optimized crystal structure of Hf2Ga2Pd7, computed with GGA-PBE.

Lattice parameters (Å, degrees): 9.355 7.936 5.140 90.00 95.20 90.00
Space group C2/m (No. 12)
One atom of each set of equivalent atoms:
Hf1 0.000 0.204 0.000 x4
Ga1 0.239 0.000 0.283 x4
Pd1 0.000 0.000 0.500 x2
Pd2 0.007 0.500 0.258 x4
Pd3 0.236 0.181 0.744 x8

***

[3]
An optimized crystal structure of Hf4Ga6Pd7, computed with GGA-PBE.

Lattice parameters (Å, degrees): 8.284 8.284 8.284 90.00 90.00 90.00
Space group Im-3m (No. 229)
One atom of each set of equivalent atoms:
Hf1 0.250 0.250 0.250 x8
Ga1 0.000 0.000 0.310 x12
Pd1 0.000 0.000 0.000 x2
Pd2 0.000 0.250 0.500 x12

***

no.,energy (eV per atom)
1,-6.2167
2,-6.1528
3,-6.2056